1.
The following is a DFT calculation (GGA-PBE) of an optimized crystal structure of ZrZn4Cu4.

```
data_ZrZn4Cu4
_chemical_formula_sum 'Zr2 Zn8 Cu8'
_cell_length_a 8.4332
_cell_length_b 8.4332
_cell_length_c 3.6769
_cell_angle_alpha 90.00
_cell_angle_beta 90.00
_cell_angle_gamma 90.00
_symmetry_space_group_name_H-M 'I 4/m m m'
_symmetry_Int_Tables_number 139
_symmetry_space_group_name_Hall '-I 4 2'
loop_
_atom_site_label
_atom_site_fract_x
_atom_site_fract_y
_atom_site_fract_z
_atom_site_occupancy
Zr1 0.0000 0.0000 0.0000 1
Zn1 0.0000 0.3320 0.0000 1
Cu1 0.1742 0.1742 0.5000 1
```

E_form   -0.069 eV per atom
Energy   -3.4054 eV/atom

***

2.
The following is a DFT calculation (GGA-PBE) of an optimized crystal structure of ZrZnCu2.

```
data_ZrZnCu2
_chemical_formula_sum 'Zr2 Zn2 Cu4'
_cell_length_a 8.6969
_cell_length_b 2.7598
_cell_length_c 5.2875
_cell_angle_alpha 90.00
_cell_angle_beta 100.18
_cell_angle_gamma 90.00
_symmetry_space_group_name_H-M 'C 1 m 1'
_symmetry_Int_Tables_number 8
loop_
_symmetry_equiv_pos_as_xyz
'x,y,z'
'x,-y,z'
'x+1/2,y+1/2,z'
'x+1/2,-y+1/2,z'
loop_
_atom_site_label
_atom_site_fract_x
_atom_site_fract_y
_atom_site_fract_z
_atom_site_occupancy
Zr1 0.0000 0.0000 0.0000 1
Zn1 0.2630 0.5000 0.3215 1
Cu1 0.0044 0.5000 0.5075 1
Cu2 0.2410 0.0000 0.7276 1
```

E_form   -0.015 eV per atom
Energy   -4.5186 eV/atom

***

3.
The following is a DFT calculation (GGA-PBE) of an optimized crystal structure of ZrZnCu2.

```
data_ZrZnCu2
_chemical_formula_sum 'Zr2 Zn2 Cu4'
_cell_length_a 6.3441
_cell_length_b 6.3206
_cell_length_c 3.1417
_cell_angle_alpha 90.00
_cell_angle_beta 90.11
_cell_angle_gamma 90.00
_symmetry_space_group_name_H-M 'C 1 2/m 1'
_symmetry_Int_Tables_number 12
loop_
_symmetry_equiv_pos_as_xyz
'x,y,z'
'-x,-y,-z'
'-x,y,-z'
'x,-y,z'
'x+1/2,y+1/2,z'
'-x+1/2,-y+1/2,-z'
'-x+1/2,y+1/2,-z'
'x+1/2,-y+1/2,z'
loop_
_atom_site_label
_atom_site_fract_x
_atom_site_fract_y
_atom_site_fract_z
_atom_site_occupancy
Zr1 0.0000 0.0000 0.0000 1
Zn1 0.0000 0.5000 0.0000 1
Cu1 0.2500 0.2500 0.5000 1
```

E_form   -0.002 eV per atom
Energy   -4.5061 eV/atom

***

4.
The following is a DFT calculation (GGA-PBE) of an optimized crystal structure of ZrZn4Cu.

```
data_ZrZn4Cu
_chemical_formula_sum 'Zr4 Zn16 Cu4'
_cell_length_a 13.2110
_cell_length_b 6.4535
_cell_length_c 4.7133
_cell_angle_alpha 90.00
_cell_angle_beta 104.16
_cell_angle_gamma 90.00
_symmetry_space_group_name_H-M 'C 1 2/m 1'
_symmetry_Int_Tables_number 12
loop_
_symmetry_equiv_pos_as_xyz
'x,y,z'
'-x,-y,-z'
'-x,y,-z'
'x,-y,z'
'x+1/2,y+1/2,z'
'-x+1/2,-y+1/2,-z'
'-x+1/2,y+1/2,-z'
'x+1/2,-y+1/2,z'
loop_
_atom_site_label
_atom_site_fract_x
_atom_site_fract_y
_atom_site_fract_z
_atom_site_occupancy
Zr1 0.2117 0.0000 0.1498 1
Zn1 0.0000 0.1902 0.0000 1
Zn2 0.1247 0.1924 0.5842 1
Zn3 0.1528 0.5000 0.2626 1
Cu1 0.0533 0.5000 0.7549 1
```

E_form   -0.043 eV per atom
Energy   -2.9996 eV/atom

***

5.
The following is a DFT calculation (GGA-PBE) of an optimized crystal structure of Zr2Zn5Cu.

```
data_Zr2Zn5Cu
_chemical_formula_sum 'Zr8 Zn20 Cu4'
_cell_length_a 3.9515
_cell_length_b 15.4474
_cell_length_c 8.7824
_cell_angle_alpha 90.00
_cell_angle_beta 90.00
_cell_angle_gamma 90.00
_symmetry_space_group_name_H-M 'C m c m'
_symmetry_Int_Tables_number 63
_symmetry_space_group_name_Hall '-C 2c 2'
loop_
_atom_site_label
_atom_site_fract_x
_atom_site_fract_y
_atom_site_fract_z
_atom_site_occupancy
Zr1 0.0000 0.0000 0.0000 1
Zr2 0.0000 0.1831 0.2500 1
Zn1 0.0000 0.1998 0.6021 1
Zn2 0.0000 0.3642 0.5285 1
Zn3 0.0000 0.3892 0.2500 1
Cu1 0.0000 0.4569 0.7500 1
```

E_form   -0.149 eV per atom
Energy   -3.5940 eV/atom

***

6.
The following is a DFT calculation (GGA-PBE) of an optimized crystal structure of ZrZn3Cu2.

```
data_ZrZn3Cu2
_chemical_formula_sum 'Zr2 Zn6 Cu4'
_cell_length_a 4.2507
_cell_length_b 4.2507
_cell_length_c 11.6820
_cell_angle_alpha 90.00
_cell_angle_beta 90.00
_cell_angle_gamma 120.00
_symmetry_space_group_name_H-M 'P 63/m m c'
_symmetry_Int_Tables_number 194
_symmetry_space_group_name_Hall '-P 6c 2c'
loop_
_atom_site_label
_atom_site_fract_x
_atom_site_fract_y
_atom_site_fract_z
_atom_site_occupancy
Zr1 0.0000 0.0000 0.2500 1
Zn1 0.0000 0.0000 0.0000 1
Zn2 0.3333 0.6667 0.1005 1
Cu1 0.3333 0.6667 0.6337 1
```

E_form   -0.165 eV per atom
Energy   -3.5925 eV/atom

***

7.
The following is a DFT calculation (GGA-PBE) of an optimized crystal structure of ZrZn6Cu3.

```
data_ZrZn6Cu3
_chemical_formula_sum 'Zr2 Zn12 Cu6'
_cell_length_a 6.5343
_cell_length_b 6.3922
_cell_length_c 8.1451
_cell_angle_alpha 90.00
_cell_angle_beta 118.84
_cell_angle_gamma 90.00
_symmetry_space_group_name_H-M 'P 1 21/c 1'
_symmetry_Int_Tables_number 14
loop_
_symmetry_equiv_pos_as_xyz
'x,y,z'
'-x,-y,-z'
'-x,y+1/2,-z+1/2'
'x,-y+1/2,z+1/2'
loop_
_atom_site_label
_atom_site_fract_x
_atom_site_fract_y
_atom_site_fract_z
_atom_site_occupancy
Zr1 0.0000 0.0000 0.0000 1
Zn1 0.1410 0.0222 0.6716 1
Zn2 0.2514 0.6848 0.8756 1
Zn3 0.4728 0.1939 0.2606 1
Cu1 0.2195 0.1918 0.4108 1
Cu2 0.5000 0.0000 0.0000 1
```

E_form   -0.108 eV per atom
Energy   -2.9564 eV/atom

***

8.
The following is a DFT calculation (GGA-PBE) of an optimized crystal structure of ZrZn3Cu.

```
data_ZrZn3Cu
_chemical_formula_sum 'Zr1 Zn3 Cu1'
_cell_length_a 5.2423
_cell_length_b 5.2423
_cell_length_c 5.2423
_cell_angle_alpha 90.00
_cell_angle_beta 90.00
_cell_angle_gamma 90.00
_symmetry_space_group_name_H-M 'P m -3 m'
_symmetry_Int_Tables_number 221
_symmetry_space_group_name_Hall '-P 4 2 3'
loop_
_atom_site_label
_atom_site_fract_x
_atom_site_fract_y
_atom_site_fract_z
_atom_site_occupancy
Zr1 0.0000 0.0000 0.0000 1
Zn1 0.0000 0.0000 0.5000 1
Cu1 0.5000 0.5000 0.5000 1
```

E_form   1.240 eV per atom
Energy   -2.0537 eV/atom